# 1
The following is a DFT calculation (PBE) of InPt2 after structural relaxation.

Summary:
The calculation puts the total energy at -128.5 eV for the cell shown. As for the density of states at the Fermi level: 0.402 states/eV per atom. The calculated formation energy is -0.414 eV per atom.

Lattice parameters (Å, degrees): 5.7342 4.1395 17.2764 90.00 92.76 90.00
Last column: nearest neighbours and their distance in Å.
Atoms (fractional coordinates):
In1 0.0102 0.0000 0.3309  8 Pt 2.75-2.92
In2 0.2377 0.5000 0.9160  12 Pt 2.82-2.95
In3 0.2728 0.5000 0.5755  10 Pt 2.80-2.96, 2 In 3.13
In4 0.2931 0.5000 0.2387  10 Pt 2.75-2.99
In5 0.7069 0.5000 0.7613  10 Pt 2.75-2.99
In6 0.7272 0.5000 0.4245  10 Pt 2.80-2.96, 2 In 3.13
In7 0.7623 0.5000 0.0840  12 Pt 2.82-2.95
In8 0.9898 0.0000 0.6691  8 Pt 2.75-2.92
Pt1 0.0000 0.0000 0.0000  8 Pt 2.86-2.89, 4 In 2.90
Pt2 0.0000 0.0000 0.5000  6 Pt 2.87-2.95, 6 In 2.87-2.92
Pt3 0.0218 0.0000 0.1673  5 In 2.83-2.89, 7 Pt 2.84-2.95
Pt4 0.2190 0.5000 0.7450  6 In 2.75-2.96, 6 Pt 2.94-2.95
Pt5 0.2330 0.5000 0.4098  6 In 2.76-2.99, 6 Pt 2.95-2.97
Pt6 0.2583 0.5000 0.0795  4 In 2.75-2.89, 8 Pt 2.86-2.94
Pt7 0.4737 0.0000 0.8354  4 In 2.81-2.87, 8 Pt 2.84-2.94
Pt8 0.4904 0.0000 0.6670  6 In 2.86-2.88, 6 Pt 2.89-2.96
Pt9 0.5000 0.0000 0.0000  8 Pt 2.84-2.88, 4 In 2.91
Pt10 0.5000 0.0000 0.5000  4 In 2.80, 8 Pt 2.87-2.97
Pt11 0.5096 0.0000 0.3330  6 In 2.86-2.88, 6 Pt 2.89-2.96
Pt12 0.5263 0.0000 0.1646  4 In 2.81-2.87, 8 Pt 2.84-2.94
Pt13 0.7417 0.5000 0.9205  4 In 2.75-2.89, 8 Pt 2.86-2.94
Pt14 0.7670 0.5000 0.5902  6 In 2.76-2.99, 6 Pt 2.95-2.97
Pt15 0.7810 0.5000 0.2550  6 In 2.75-2.96, 6 Pt 2.94-2.95
Pt16 0.9782 0.0000 0.8327  5 In 2.83-2.89, 7 Pt 2.84-2.95


# 2
The following is a DFT calculation (PBE) of InPt3 after structural relaxation.

Summary:
The calculation puts the total energy at -43.6 eV for the cell shown. As for the density of states at the Fermi level: 0.658 states/eV per atom. The calculated formation energy is -0.229 eV per atom.

Lattice parameters (Å, degrees): 2.9266 4.7870 9.6175 90.00 90.00 90.00
Last column: nearest neighbours and their distance in Å.
Atoms (fractional coordinates):
In1 0.0000 0.0000 0.0000  8 Pt 2.80-2.81, 2 In 2.93
In2 0.5000 0.5000 0.5000  8 Pt 2.80-2.81, 2 In 2.93
Pt1 0.0000 0.0000 0.5000  4 In 2.81, 6 Pt 2.83-2.93
Pt2 0.0000 0.5000 0.2521  2 In 2.80, 8 Pt 2.81-2.93
Pt3 0.0000 0.5000 0.7479  2 In 2.80, 8 Pt 2.81-2.93
Pt4 0.5000 0.0000 0.2479  2 In 2.80, 8 Pt 2.81-2.93
Pt5 0.5000 0.0000 0.7521  2 In 2.80, 8 Pt 2.81-2.93
Pt6 0.5000 0.5000 0.0000  4 In 2.81, 6 Pt 2.83-2.93


# 3
The following is a DFT calculation (PBE) of In2Pt after structural relaxation.

Summary:
The calculation puts the total energy at -11.3 eV for the cell shown. As for the density of states at the Fermi level: 0.426 states/eV per atom. The calculated formation energy is 0.087 eV per atom.

Lattice parameters (Å, degrees): 5.0104 5.0104 2.9001 90.00 90.00 120.00
Last column: nearest neighbours and their distance in Å.
Atoms (fractional coordinates):
In1 0.3333 0.6667 0.0000  5 In 2.89-2.90, 6 Pt 3.24
In2 0.6667 0.3333 0.0000  5 In 2.89-2.90, 6 Pt 3.24
Pt1 0.0000 0.0000 0.5000  2 Pt 2.90, 12 In 3.24


# 4
The following is a DFT calculation (PBE) of In2Pt after structural relaxation.

Summary:
The calculation puts the total energy at -50.1 eV for the cell shown. As for the density of states at the Fermi level: 0.476 states/eV per atom. The calculated formation energy is -0.333 eV per atom.

Lattice parameters (Å, degrees): 3.6117 9.6444 8.0143 90.00 90.00 90.00
Last column: nearest neighbours and their distance in Å.
Atoms (fractional coordinates):
In1 0.0000 0.0000 0.0000  4 Pt 2.77
In2 0.0000 0.0000 0.5000  4 Pt 2.77
In3 0.0000 0.2789 0.2500  3 Pt 2.75
In4 0.0000 0.7211 0.7500  3 Pt 2.75
In5 0.5000 0.2211 0.7500  3 Pt 2.75
In6 0.5000 0.5000 0.0000  4 Pt 2.77
In7 0.5000 0.5000 0.5000  4 Pt 2.77
In8 0.5000 0.7789 0.2500  3 Pt 2.75
Pt1 0.0000 0.4358 0.7500  7 In 2.75-2.77
Pt2 0.0000 0.5642 0.2500  7 In 2.75-2.77
Pt3 0.5000 0.0642 0.2500  7 In 2.75-2.77
Pt4 0.5000 0.9358 0.7500  7 In 2.75-2.77


# 5
The following is a DFT calculation (PBE) of In3Pt after structural relaxation.

Summary:
The calculation puts the total energy at -58.5 eV for the cell shown. As for the density of states at the Fermi level: 0.432 states/eV per atom. The calculated formation energy is -0.092 eV per atom.

Lattice parameters (Å, degrees): 4.3923 4.3923 18.9115 90.00 90.00 90.00
Last column: nearest neighbours and their distance in Å.
Atoms (fractional coordinates):
In1 0.0000 0.0000 0.1208  8 In 3.17-3.28, 4 Pt 3.18
In2 0.0000 0.0000 0.8792  8 In 3.17-3.28, 4 Pt 3.18
In3 0.0000 0.5000 0.0000  8 In 3.11-3.17
In4 0.0000 0.5000 0.2500  4 Pt 2.80, 4 In 3.11
In5 0.0000 0.5000 0.5000  8 In 3.11-3.17
In6 0.0000 0.5000 0.7500  4 Pt 2.80, 4 In 3.11
In7 0.5000 0.0000 0.0000  8 In 3.11-3.17
In8 0.5000 0.0000 0.2500  4 Pt 2.80, 4 In 3.11
In9 0.5000 0.0000 0.5000  8 In 3.11-3.17
In10 0.5000 0.0000 0.7500  4 Pt 2.80, 4 In 3.11
In11 0.5000 0.5000 0.3792  8 In 3.17-3.28, 4 Pt 3.18
In12 0.5000 0.5000 0.6208  8 In 3.17-3.28, 4 Pt 3.18
Pt1 0.0000 0.0000 0.3419  4 In 2.80
Pt2 0.0000 0.0000 0.6581  4 In 2.80
Pt3 0.5000 0.5000 0.1581  4 In 2.80
Pt4 0.5000 0.5000 0.8419  4 In 2.80


# 6
The following is a DFT calculation (PBE) of PuInPt after structural relaxation.

Summary:
The calculation puts the total energy at -150.5 eV for the cell shown. As for the density of states at the Fermi level: 3.488 states/eV per atom. The calculated formation energy is -0.656 eV per atom.

Lattice parameters (Å, degrees): 13.4656 3.9315 7.7322 90.00 90.00 90.00
Last column: nearest neighbours and their distance in Å.
Atoms (fractional coordinates):
Pu1 0.0469 0.0000 0.2235  5 Pt 3.04-3.25, 4 In 3.36-3.38
Pu2 0.2500 0.0000 0.8438  5 Pt 2.91-3.05
Pu3 0.4531 0.0000 0.2235  5 Pt 3.04-3.25, 4 In 3.36-3.38
Pu4 0.5469 0.0000 0.7765  5 Pt 3.04-3.25, 4 In 3.36-3.38
Pu5 0.7500 0.0000 0.1562  5 Pt 2.91-3.05
Pu6 0.9531 0.0000 0.7765  5 Pt 3.04-3.25, 4 In 3.36-3.38
In1 0.1143 0.5000 0.5648  3 Pt 2.83-2.87
In2 0.2500 0.5000 0.1946  4 Pt 2.79-2.86
In3 0.3857 0.5000 0.5648  3 Pt 2.83-2.87
In4 0.6143 0.5000 0.4352  3 Pt 2.83-2.87
In5 0.7500 0.5000 0.8054  4 Pt 2.79-2.86
In6 0.8857 0.5000 0.4352  3 Pt 2.83-2.87
Pt1 0.0992 0.5000 0.9351  1 Pt 2.85, 2 In 2.86-2.87, 6 Pu 2.91-3.06
Pt2 0.2500 0.0000 0.4498  6 In 2.79-2.83, 1 Pu 3.05
Pt3 0.4008 0.5000 0.9351  1 Pt 2.85, 2 In 2.86-2.87, 6 Pu 2.91-3.06
Pt4 0.5992 0.5000 0.0649  1 Pt 2.85, 2 In 2.86-2.87, 6 Pu 2.91-3.06
Pt5 0.7500 0.0000 0.5502  6 In 2.79-2.83, 1 Pu 3.05
Pt6 0.9008 0.5000 0.0649  1 Pt 2.85, 2 In 2.86-2.87, 6 Pu 2.91-3.06


# 7
The following is a DFT calculation (PBE) of Pu2InPt9 after structural relaxation.

Summary:
The calculation puts the total energy at -92.9 eV for the cell shown. As for the density of states at the Fermi level: 2.595 states/eV per atom. The calculated formation energy is -0.593 eV per atom.

Lattice parameters (Å, degrees): 4.1211 4.1211 12.3434 90.00 90.00 90.00
Last column: nearest neighbours and their distance in Å.
Atoms (fractional coordinates):
Pu1 0.0000 0.0000 0.1693  12 Pt 2.91-2.93
Pu2 0.0000 0.0000 0.8307  12 Pt 2.91-2.93
In1 0.0000 0.0000 0.5000  12 Pt 2.88-2.91
Pt1 0.0000 0.5000 0.0000  8 Pt 2.91-2.95, 4 Pu 2.93
Pt2 0.0000 0.5000 0.3368  8 Pt 2.88-2.91, 2 In 2.88, 2 Pu 2.92
Pt3 0.0000 0.5000 0.6632  2 In 2.88, 8 Pt 2.88-2.91, 2 Pu 2.92
Pt4 0.5000 0.0000 0.0000  8 Pt 2.91-2.95, 4 Pu 2.93
Pt5 0.5000 0.0000 0.3368  8 Pt 2.88-2.91, 2 In 2.88, 2 Pu 2.92
Pt6 0.5000 0.0000 0.6632  2 In 2.88, 8 Pt 2.88-2.91, 2 Pu 2.92
Pt7 0.5000 0.5000 0.1712  8 Pt 2.90-2.95, 4 Pu 2.91
Pt8 0.5000 0.5000 0.5000  8 Pt 2.88, 4 In 2.91
Pt9 0.5000 0.5000 0.8288  8 Pt 2.90-2.95, 4 Pu 2.91


# 8
The following is a DFT calculation (PBE) of PuIn4Pt2 after structural relaxation.

Summary:
The calculation puts the total energy at -163.1 eV for the cell shown. As for the density of states at the Fermi level: 2.225 states/eV per atom. The calculated formation energy is -0.488 eV per atom.

Lattice parameters (Å, degrees): 18.5288 4.5006 7.3938 90.00 90.00 90.00
Last column: nearest neighbours and their distance in Å.
Atoms (fractional coordinates):
Pu1 0.1409 0.2500 0.0453  10 In 3.25-3.61, 4 Pt 3.25-3.42
Pu2 0.3591 0.7500 0.5453  10 In 3.25-3.61, 4 Pt 3.25-3.42
Pu3 0.6409 0.2500 0.4547  10 In 3.25-3.61, 4 Pt 3.25-3.42
Pu4 0.8591 0.7500 0.9547  10 In 3.25-3.61, 4 Pt 3.25-3.42
In1 0.0352 0.7500 0.8576  3 Pt 2.78-2.88, 1 In 2.97
In2 0.0697 0.2500 0.4999  4 Pt 2.80-2.97
In3 0.1869 0.7500 0.3426  4 Pt 2.76-2.79, 1 In 3.04
In4 0.1898 0.7500 0.7533  3 Pt 2.76, 2 In 2.97-3.04
In5 0.3102 0.2500 0.2533  3 Pt 2.76, 2 In 2.97-3.04
In6 0.3131 0.2500 0.8426  4 Pt 2.76-2.79, 1 In 3.04
In7 0.4303 0.7500 0.9999  4 Pt 2.80-2.97
In8 0.4648 0.2500 0.3576  3 Pt 2.78-2.88, 1 In 2.97
In9 0.5352 0.7500 0.6424  3 Pt 2.78-2.88, 1 In 2.97
In10 0.5697 0.2500 0.0001  4 Pt 2.80-2.97
In11 0.6869 0.7500 0.1574  4 Pt 2.76-2.79, 1 In 3.04
In12 0.6898 0.7500 0.7467  3 Pt 2.76, 2 In 2.97-3.04
In13 0.8102 0.2500 0.2467  3 Pt 2.76, 2 In 2.97-3.04
In14 0.8131 0.2500 0.6574  4 Pt 2.76-2.79, 1 In 3.04
In15 0.9303 0.7500 0.5001  4 Pt 2.80-2.97
In16 0.9648 0.2500 0.1424  3 Pt 2.78-2.88, 1 In 2.97
Pt1 0.0429 0.7500 0.2470  7 In 2.76-2.97
Pt2 0.2199 0.2500 0.5496  7 In 2.76-2.81
Pt3 0.2801 0.7500 0.0496  7 In 2.76-2.81
Pt4 0.4571 0.2500 0.7470  7 In 2.76-2.97
Pt5 0.5429 0.7500 0.2530  7 In 2.76-2.97
Pt6 0.7199 0.2500 0.9504  7 In 2.76-2.81
Pt7 0.7801 0.7500 0.4504  7 In 2.76-2.81
Pt8 0.9571 0.2500 0.7530  7 In 2.76-2.97